Entry 1:
K3BiTe3 at its PBEsol-relaxed geometry. Source: Alexandria, functional meta-GGA SCAN.

The structure in POSCAR format:
```
K3BiTe3
1.0
10.2238 0.0000 0.0000
0.0000 10.2238 0.0000
0.0000 0.0000 10.2238
K Bi Te
12 4 12
direct
0.5727 0.5727 0.5727
0.9273 0.4273 0.0727
0.0727 0.9273 0.4273
0.4273 0.0727 0.9273
0.3284 0.3284 0.3284
0.1716 0.6716 0.8284
0.8284 0.1716 0.6716
0.6716 0.8284 0.1716
0.8198 0.8198 0.8198
0.6802 0.1802 0.3198
0.3198 0.6802 0.1802
0.1802 0.3198 0.6802
0.9592 0.5408 0.4592
0.4592 0.9592 0.5408
0.0408 0.0408 0.0408
0.5408 0.4592 0.9592
0.7719 0.1223 0.9994
0.7281 0.8777 0.4994
0.2719 0.3777 0.0006
0.1223 0.9994 0.7719
0.2281 0.6223 0.5006
0.5006 0.2281 0.6223
0.6223 0.5006 0.2281
0.8777 0.4994 0.7281
0.0006 0.2719 0.3777
0.3777 0.0006 0.2719
0.9994 0.7719 0.1223
0.4994 0.7281 0.8777
```

Summary:
- calculated density (g cm⁻³) = 4.407
- formation energy (no corrections) (eV per atom) = -0.8860
- raw total energy (eV/atom) = -31.65



Entry 2:
Pr2Se2O at its PBEsol-relaxed geometry. Source: Alexandria, functional meta-GGA SCAN.

The structure in POSCAR format:
```
Pr2Se2O
1.0
7.3198 0.0000 0.0000
0.0000 7.3095 -0.0144
0.0000 -1.5081 8.6768
Pr Se O
8 8 4
direct
0.9468 0.7466 0.8585
0.4468 0.7534 0.1415
0.0532 0.2534 0.1415
0.5532 0.2466 0.8585
0.8525 0.6745 0.4253
0.3525 0.8255 0.5747
0.1475 0.3255 0.5747
0.6475 0.1745 0.4253
0.2780 0.9717 0.9218
0.3714 0.4323 0.3192
0.6286 0.5677 0.6808
0.1286 0.9323 0.3192
0.7780 0.5283 0.0782
0.7220 0.0283 0.0782
0.2220 0.4717 0.9218
0.8714 0.0677 0.6808
0.9150 0.3502 0.3858
0.5850 0.8502 0.3858
0.0850 0.6498 0.6142
0.4150 0.1498 0.6142
```

Summary:
- calculated density (g cm⁻³) = 6.523
- formation energy (no corrections) (eV per atom) = -2.7330
- raw total energy (eV/atom) = -29.34



Entry 3:
CaScSe at its PBEsol-relaxed geometry. Source: Alexandria, functional meta-GGA SCAN.

The structure in POSCAR format:
```
CaScSe
1.0
3.4717 0.0000 0.0000
0.0000 3.4717 0.0000
-1.7359 -1.7359 6.0292
Sc Ca Se
1 1 1
direct
0.7028 0.7028 0.4057
0.9832 0.9832 0.9664
0.3139 0.3139 0.6279
```

Summary:
- calculated density (g cm⁻³) = 3.747
- energy above the most stable polymorph in this dataset (meV/atom) = 129
- formation energy (no corrections) (eV per atom) = -1.0364
- raw total energy (eV/atom) = -15.70



Q: Which of these has the highest formation energy (no corrections)?
A: K3BiTe3



What did the third record say?
CaScSe at its PBEsol-relaxed geometry. Source: Alexandria, functional meta-GGA SCAN.

The structure in POSCAR format:
```
CaScSe
1.0
3.4717 0.0000 0.0000
0.0000 3.4717 0.0000
-1.7359 -1.7359 6.0292
Sc Ca Se
1 1 1
direct
0.7028 0.7028 0.4057
0.9832 0.9832 0.9664
0.3139 0.3139 0.6279
```

Summary:
- calculated density (g cm⁻³) = 3.747
- energy above the most stable polymorph in this dataset (meV/atom) = 129
- formation energy (no corrections) (eV per atom) = -1.0364
- raw total energy (eV/atom) = -15.70



Q: Which of these has the highest calculated density?
A: Pr2Se2O



Q: Look up the formation energy (no corrections) of the first one.
A: -0.8860 eV per atom